Computed, not measured: a geometry-optimized Mg3MoS structure at the PBE level of DFT.

Results
**Distance to the lowest polymorph of the same formula**: 0.00 eV per formula unit
**Total energy**: -3.504 eV per atom
**Uncorrected formation energy**: 2.22 eV per formula unit
**Fermi-level density of states**: 2.688 states/eV/f.u.

Unit cell a=4.808 b=4.808 c=4.808 alpha=90.00 beta=90.00 gamma=90.00
Space group Pm-3m (No. 221)
One atom of each set of equivalent atoms:
1 Mg 0.000 0.000 0.500 x3
2 Mo 0.500 0.500 0.500 x1
3 S 0.000 0.000 0.000 x1

=====

Computed, not measured: a geometry-optimized MgMo2S structure at the PBE level of DFT.

Results
**Distance to the lowest polymorph of the same formula**: 1.43 eV per formula unit
**Total energy**: -6.197 eV per atom
**Uncorrected formation energy**: 2.60 eV per formula unit
**Fermi-level density of states**: 6.176 states/eV/f.u.

Unit cell a=6.223 b=6.223 c=6.223 alpha=90.00 beta=90.00 gamma=90.00
Space group Fm-3m (No. 225)
One atom of each set of equivalent atoms:
1 Mg 0.000 0.000 0.000 x4
2 Mo 0.250 0.250 0.250 x8
3 S 0.000 0.000 0.500 x4

=====

Computed, not measured: a geometry-optimized Mg3MoS structure at the PBE level of DFT.

Results
**Distance to the lowest polymorph of the same formula**: 3.54 eV per formula unit
**Total energy**: -2.796 eV per atom
**Uncorrected formation energy**: 5.76 eV per formula unit
**Fermi-level density of states**: 5.430 states/eV/f.u.

Unit cell a=5.271 b=5.271 c=5.271 alpha=90.00 beta=90.00 gamma=90.00
Space group Pm-3m (No. 221)
One atom of each set of equivalent atoms:
1 Mg 0.000 0.000 0.500 x3
2 Mo 0.000 0.000 0.000 x1
3 S 0.500 0.500 0.500 x1

=====

Computed, not measured: a geometry-optimized MgMoS3 structure at the PBE level of DFT.

Results
**Distance to the lowest polymorph of the same formula**: 3.77 eV per formula unit
**Total energy**: -4.397 eV per atom
**Uncorrected formation energy**: 2.82 eV per formula unit
**Fermi-level density of states**: 1.037 states/eV/f.u.

Unit cell a=4.677 b=4.677 c=4.677 alpha=90.00 beta=90.00 gamma=90.00
Space group Pm-3m (No. 221)
One atom of each set of equivalent atoms:
1 Mg 0.000 0.000 0.000 x1
2 Mo 0.500 0.500 0.500 x1
3 S 0.000 0.000 0.500 x3

=====

Computed, not measured: a geometry-optimized MgMo2S structure at the PBE level of DFT.

Results
**Distance to the lowest polymorph of the same formula**: 0.00 eV per formula unit
**Total energy**: -6.554 eV per atom
**Uncorrected formation energy**: 1.17 eV per formula unit
**Fermi-level density of states**: 2.560 states/eV/f.u.

Unit cell a=3.719 b=3.719 c=19.344 alpha=90.00 beta=90.00 gamma=90.00
Space group I-42d (No. 122)
One atom of each set of equivalent atoms:
1 Mg 0.000 0.000 0.000 x4
2 Mo 0.230 0.250 0.625 x8
3 S 0.000 0.000 0.500 x4

=====

Computed, not measured: a geometry-optimized MgMo3S4 structure at the PBE level of DFT.

Results
**Total energy**: -7.150 eV per atom
**Uncorrected formation energy**: -6.60 eV per formula unit

Unit cell a=6.600 b=6.634 c=6.702 alpha=99.59 beta=90.85 gamma=98.16
Space group P-1 (No. 2)
One atom of each set of equivalent atoms:
1 Mg 0.022 0.217 0.402 x2
2 Mo 0.228 0.404 0.045 x2
3 Mo 0.416 0.531 0.732 x2
4 Mo 0.459 0.775 0.103 x2
5 S 0.147 0.707 0.900 x2
6 S 0.204 0.173 0.714 x2
7 S 0.269 0.625 0.384 x2
8 S 0.364 0.139 0.214 x2

=====

Computed, not measured: a geometry-optimized MgMo2S4 structure at the PBE level of DFT.

Results
**Total energy**: -6.265 eV per atom
**Uncorrected formation energy**: -4.09 eV per formula unit
**Fermi-level density of states**: 3.584 states/eV/f.u.

Unit cell a=10.506 b=10.506 c=10.506 alpha=90.00 beta=90.00 gamma=90.00
Space group Fd-3m (No. 227, origin choice 2)
One atom of each set of equivalent atoms:
1 Mg 0.125 0.125 0.125 x8
2 Mo 0.000 0.000 0.500 x16
3 S 0.011 0.011 0.739 x32

=====

Computed, not measured: a geometry-optimized MgSbMo2S structure at the PBE level of DFT.

Results
**Total energy**: -4.781 eV per atom
**Uncorrected formation energy**: 7.60 eV per formula unit
**Fermi-level density of states**: 4.702 states/eV/f.u.

Unit cell a=5.210 b=5.210 c=5.190 alpha=90.00 beta=90.00 gamma=90.00
Space group P4/mmm (No. 123)
One atom of each set of equivalent atoms:
1 Mg 0.000 0.000 0.000 x1
2 Sb 0.500 0.500 0.500 x1
3 Mo 0.000 0.500 0.500 x2
4 S 0.500 0.500 0.000 x1

=====

Computed, not measured: a geometry-optimized MgScMoS4 structure at the PBE level of DFT.

Results
**Total energy**: -6.231 eV per atom
**Uncorrected formation energy**: -8.35 eV per formula unit
**Fermi-level density of states**: 0.513 states/eV/f.u.

Unit cell a=7.489 b=7.571 c=10.441 alpha=90.00 beta=90.00 gamma=90.00
Space group Imma (No. 74)
One atom of each set of equivalent atoms:
1 Mg 0.000 0.250 0.128 x4
2 Sc 0.250 0.250 0.750 x4
3 Mo 0.000 0.000 0.500 x4
4 S 0.000 0.016 0.741 x8
5 S 0.225 0.250 0.502 x8

=====

Computed, not measured: a geometry-optimized Mg2ScMo3S8 structure at the PBE level of DFT.

Results
**Total energy**: -6.252 eV per atom
**Uncorrected formation energy**: -12.50 eV per formula unit
**Fermi-level density of states**: 2.998 states/eV/f.u.

Unit cell a=7.5219 b=7.5219 c=17.8851 alpha=90.00 beta=90.00 gamma=120.00
Space group R-3m (No. 166, hexagonal axes)
One atom of each set of equivalent atoms:
1 Mg 0.0000 0.0000 0.1222 x6
2 Sc 0.0000 0.0000 0.5000 x3
3 Mo 0.0000 0.5000 0.0000 x9
4 S 0.0000 0.0000 0.2606 x6
5 S 0.0222 0.5111 0.2561 x18

=====

Computed, not measured: a geometry-optimized Sm3Mg2MoS8 structure at the PBE level of DFT.

Results
**Total energy**: -5.874 eV per atom
**Uncorrected formation energy**: -21.04 eV per formula unit
**Fermi-level density of states**: 0.280 states/eV/f.u.

Unit cell a=7.9488 b=7.9488 c=18.9094 alpha=90.00 beta=90.00 gamma=120.00
Space group R-3m (No. 166, hexagonal axes)
One atom of each set of equivalent atoms:
1 Sm 0.0000 0.5000 0.0000 x9
2 Mg 0.0000 0.0000 0.1258 x6
3 Mo 0.0000 0.0000 0.5000 x3
4 S 0.0000 0.0000 0.2536 x6
5 S 0.0220 0.5110 0.2432 x18

=====

Computed, not measured: a geometry-optimized MgTaMoS2 structure at the PBE level of DFT.

Results
**Total energy**: -5.726 eV per atom
**Uncorrected formation energy**: 3.90 eV per formula unit
**Fermi-level density of states**: 5.113 states/eV/f.u.

Unit cell a=4.721 b=4.721 c=5.390 alpha=90.00 beta=90.00 gamma=90.00
Space group P4/mmm (No. 123)
One atom of each set of equivalent atoms:
1 Mg 0.000 0.000 0.000 x1
2 Ta 0.000 0.000 0.500 x1
3 Mo 0.500 0.500 0.000 x1
4 S 0.000 0.500 0.500 x2

=====

Computed, not measured: a geometry-optimized Mg2Ti3MoS8 structure at the PBE level of DFT.

Results
**Total energy**: -6.202 eV per atom
**Uncorrected formation energy**: -16.10 eV per formula unit
**Fermi-level density of states**: 8.166 states/eV/f.u.

Unit cell a=7.3027 b=7.3027 c=17.9369 alpha=90.00 beta=90.00 gamma=120.00
Space group R-3m (No. 166, hexagonal axes)
One atom of each set of equivalent atoms:
1 Mg 0.0000 0.0000 0.1258 x6
2 Ti 0.0000 0.5000 0.0000 x9
3 Mo 0.0000 0.0000 0.5000 x3
4 S 0.0000 0.0000 0.2594 x6
5 S 0.0238 0.5119 0.2538 x18

=====

Computed, not measured: a geometry-optimized MgTiMoS4 structure at the PBE level of DFT.

Results
**Total energy**: -6.239 eV per atom
**Uncorrected formation energy**: -6.84 eV per formula unit
**Fermi-level density of states**: 3.187 states/eV/f.u.

Unit cell a=7.270 b=7.573 c=10.141 alpha=90.00 beta=90.00 gamma=90.00
Space group Imma (No. 74)
One atom of each set of equivalent atoms:
1 Mg 0.000 0.250 0.131 x4
2 Ti 0.250 0.250 0.750 x4
3 Mo 0.000 0.000 0.500 x4
4 S 0.000 0.025 0.747 x8
5 S 0.227 0.250 0.505 x8

=====

Computed, not measured: a geometry-optimized Mg2VMo3S8 structure at the PBE level of DFT.

Results
**Total energy**: -6.245 eV per atom
**Uncorrected formation energy**: -9.61 eV per formula unit
**Fermi-level density of states**: 10.506 states/eV/f.u.

Unit cell a=7.4082 b=7.4082 c=17.9936 alpha=90.00 beta=90.00 gamma=120.00
Space group R-3m (No. 166, hexagonal axes)
One atom of each set of equivalent atoms:
1 Mg 0.0000 0.0000 0.1227 x6
2 V 0.0000 0.0000 0.5000 x3
3 Mo 0.0000 0.5000 0.0000 x9
4 S 0.0000 0.0000 0.2601 x6
5 S 0.0315 0.5158 0.2526 x18

=====

Computed, not measured: a geometry-optimized Mg2V3MoS8 structure at the PBE level of DFT.

Results
**Total energy**: -6.204 eV per atom
**Uncorrected formation energy**: -12.46 eV per formula unit
**Fermi-level density of states**: 12.134 states/eV/f.u.

Unit cell a=7.2402 b=7.2402 c=18.1409 alpha=90.00 beta=90.00 gamma=120.00
Space group R-3m (No. 166, hexagonal axes)
One atom of each set of equivalent atoms:
1 Mg 0.0000 0.0000 0.1276 x6
2 V 0.0000 0.5000 0.0000 x9
3 Mo 0.0000 0.0000 0.5000 x3
4 S 0.0000 0.0000 0.2621 x6
5 S 0.0281 0.5141 0.2547 x18

=====

Computed, not measured: a geometry-optimized MgMoWS4 structure at the PBE level of DFT.

Results
**Total energy**: -6.699 eV per atom
**Uncorrected formation energy**: -5.00 eV per formula unit
**Fermi-level density of states**: 0.487 states/eV/f.u.

Unit cell a=7.549 b=7.558 c=8.795 alpha=90.00 beta=90.00 gamma=90.00
Space group Imm2 (No. 44)
One atom of each set of equivalent atoms:
1 Mg 0.000 0.000 0.000 x2
2 Mg 0.000 0.500 0.142 x2
3 Mo 0.000 0.264 0.535 x4
4 W 0.198 0.500 0.737 x4
5 S 0.000 0.198 0.241 x4
6 S 0.000 0.266 0.804 x4
7 S 0.196 0.500 0.463 x4
8 S 0.212 0.000 0.517 x4

=====

Computed, not measured: a geometry-optimized Y3Mg2MoS8 structure at the PBE level of DFT.

Results
**Total energy**: -6.298 eV per atom
**Uncorrected formation energy**: -21.74 eV per formula unit
**Fermi-level density of states**: 0.080 states/eV/f.u.

Unit cell a=7.8371 b=7.8371 c=18.7302 alpha=90.00 beta=90.00 gamma=120.00
Space group R-3m (No. 166, hexagonal axes)
One atom of each set of equivalent atoms:
1 Y 0.0000 0.5000 0.0000 x9
2 Mg 0.0000 0.0000 0.1256 x6
3 Mo 0.0000 0.0000 0.5000 x3
4 S 0.0000 0.0000 0.2550 x6
5 S 0.0224 0.5112 0.2451 x18

=====

Computed, not measured: a geometry-optimized MgSb2Mo structure at the PBE level of DFT.

Results
**Total energy**: -5.137 eV per atom
**Uncorrected formation energy**: 0.12 eV per formula unit
**Fermi-level density of states**: 1.671 states/eV/f.u.

Unit cell a=3.433 b=3.433 c=7.230 alpha=90.00 beta=90.00 gamma=90.00
Space group P4/mmm (No. 123)
One atom of each set of equivalent atoms:
1 Mg 0.000 0.000 0.000 x1
2 Sb 0.500 0.500 0.283 x2
3 Mo 0.000 0.000 0.500 x1

=====

Computed, not measured: a geometry-optimized MgSb2Mo structure at the PBE level of DFT.

Results
**Total energy**: -4.992 eV per atom
**Uncorrected formation energy**: 0.70 eV per formula unit
**Fermi-level density of states**: 2.487 states/eV/f.u.

Unit cell a=9.112 b=3.400 c=5.652 alpha=90.00 beta=100.57 gamma=90.00
Space group C2/m (No. 12)
One atom of each set of equivalent atoms:
1 Mg 0.000 0.000 0.000 x2
2 Sb 0.231 0.000 0.719 x4
3 Mo 0.000 0.500 0.500 x2